! HfPdF3 | Alexandria | PBE | relaxed; values from VASP
! **Energy above the lowest structure with this stoichiometry**: 0 meV/atom
! **Formation energy (no corrections)**: -2.098 eV/atom
&SYSTEM
  ibrav = 0, nat = 5, ntyp = 3
/
ATOMIC_SPECIES
Hf 178.49 Hf.upf
Pd 106.42 Pd.upf
F 19.00 F.upf
CELL_PARAMETERS angstrom
4.189 0.000 0.000
0.000 4.189 0.000
0.000 0.000 4.189
ATOMIC_POSITIONS crystal
Hf 0.000 0.000 0.000
Pd 0.500 0.500 0.500
F 0.000 0.000 0.500
F 0.000 0.500 0.000
F 0.500 0.000 0.000

=====

! HgTeRu | Alexandria | PBE | relaxed; values from VASP
! **Energy above the lowest structure with this stoichiometry**: 55 meV/atom
! **Formation energy (no corrections)**: 0.107 eV/atom
&SYSTEM
  ibrav = 0, nat = 12, ntyp = 3
/
ATOMIC_SPECIES
Hg 200.59 Hg.upf
Te 127.60 Te.upf
Ru 101.07 Ru.upf
CELL_PARAMETERS angstrom
6.809 0.000 0.000
0.000 13.358 0.000
-0.116 0.000 3.117
ATOMIC_POSITIONS crystal
Hg 0.250 0.250 0.000
Hg 0.250 0.750 0.000
Hg 0.750 0.250 0.000
Hg 0.750 0.750 0.000
Te 0.237 0.000 0.022
Te 0.263 0.500 0.978
Te 0.737 0.500 0.022
Te 0.763 0.000 0.978
Ru 0.000 0.111 0.500
Ru 0.000 0.889 0.500
Ru 0.500 0.389 0.500
Ru 0.500 0.611 0.500

=====

! AcInCuNi | Alexandria | PBE | relaxed; values from VASP
! **Energy above the lowest structure with this stoichiometry**: 0 meV/atom
! **ΔE_f**: -0.27 eV/atom
&SYSTEM
  ibrav = 0, nat = 8, ntyp = 4
/
ATOMIC_SPECIES
Ac 227.00 Ac.upf
In 114.82 In.upf
Cu 63.55 Cu.upf
Ni 58.69 Ni.upf
CELL_PARAMETERS angstrom
7.851 0.000 0.000
0.000 4.532 0.000
-2.607 0.000 5.091
ATOMIC_POSITIONS crystal
Ac 0.000 0.000 0.000
Ac 0.500 0.500 0.000
In 0.007 0.500 0.521
In 0.507 0.000 0.521
Cu 0.301 0.500 0.402
Cu 0.801 0.000 0.402
Ni 0.192 0.000 0.575
Ni 0.692 0.500 0.575

=====

! BaMgCl2 | Alexandria | PBE | relaxed; values from VASP
! **Energy above the lowest structure with this stoichiometry**: 68 meV/atom
! **Formation energy (no corrections)**: -1.437 eV/atom
&SYSTEM
  ibrav = 0, nat = 8, ntyp = 3
/
ATOMIC_SPECIES
Ba 137.33 Ba.upf
Mg 24.30 Mg.upf
Cl 35.45 Cl.upf
CELL_PARAMETERS angstrom
4.038 0.000 0.000
0.000 4.861 0.000
0.000 0.000 15.491
ATOMIC_POSITIONS crystal
Ba 0.000 0.000 0.000
Ba 0.500 0.500 0.500
Mg 0.000 0.500 0.272
Mg 0.500 0.000 0.772
Cl 0.000 0.000 0.467
Cl 0.000 0.500 0.647
Cl 0.500 0.000 0.147
Cl 0.500 0.500 0.967

=====

! NdSiN2 | Alexandria | PBE | relaxed; values from VASP
! **Formation energy (no corrections)**: -0.014 eV/atom
&SYSTEM
  ibrav = 0, nat = 12, ntyp = 3
/
ATOMIC_SPECIES
Nd 144.24 Nd.upf
Si 28.09 Si.upf
N 14.01 N.upf
CELL_PARAMETERS angstrom
3.068 0.000 0.000
-1.534 2.657 0.000
0.000 0.000 19.485
ATOMIC_POSITIONS crystal
Nd 0.000 0.000 0.000
Nd 0.333 0.667 0.667
Nd 0.667 0.333 0.333
Si 0.000 0.000 0.500
Si 0.333 0.667 0.167
Si 0.667 0.333 0.833
N 0.000 0.000 0.120
N 0.000 0.000 0.880
N 0.333 0.667 0.546
N 0.333 0.667 0.787
N 0.667 0.333 0.213
N 0.667 0.333 0.454

=====

! TlZnSi2 | Alexandria | PBE | relaxed; values from VASP
! **Energy above the lowest structure with this stoichiometry**: 150 meV/atom
! **Formation energy (no corrections)**: 0.412 eV/atom
&SYSTEM
  ibrav = 0, nat = 4, ntyp = 3
/
ATOMIC_SPECIES
Tl 204.38 Tl.upf
Zn 65.41 Zn.upf
Si 28.09 Si.upf
CELL_PARAMETERS angstrom
3.092 0.000 0.000
0.000 3.693 0.000
0.000 0.000 7.298
ATOMIC_POSITIONS crystal
Tl 0.000 0.000 0.000
Zn 0.000 0.000 0.500
Si 0.500 0.500 0.332
Si 0.500 0.500 0.668

=====

! CaRe2Si | Alexandria | PBE | relaxed; values from VASP
! **Formation energy (no corrections)**: 0.363 eV/atom
&SYSTEM
  ibrav = 0, nat = 12, ntyp = 3
/
ATOMIC_SPECIES
Ca 40.08 Ca.upf
Re 186.21 Re.upf
Si 28.09 Si.upf
CELL_PARAMETERS angstrom
2.946 0.000 0.000
-1.473 2.552 0.000
0.000 0.000 27.432
ATOMIC_POSITIONS crystal
Ca 0.000 0.000 0.000
Ca 0.333 0.667 0.667
Ca 0.667 0.333 0.333
Re 0.000 0.000 0.240
Re 0.000 0.000 0.498
Re 0.333 0.667 0.164
Re 0.333 0.667 0.907
Re 0.667 0.333 0.573
Re 0.667 0.333 0.831
Si 0.000 0.000 0.761
Si 0.333 0.667 0.428
Si 0.667 0.333 0.094

=====

! Mg2Sb2Se | Alexandria | PBE | relaxed; values from VASP
! **Formation energy (no corrections)**: -0.209 eV/atom
&SYSTEM
  ibrav = 0, nat = 10, ntyp = 3
/
ATOMIC_SPECIES
Mg 24.30 Mg.upf
Sb 121.76 Sb.upf
Se 78.96 Se.upf
CELL_PARAMETERS angstrom
7.419 0.000 0.000
0.000 7.419 0.000
0.000 0.000 4.663
ATOMIC_POSITIONS crystal
Mg 0.177 0.323 0.000
Mg 0.323 0.823 0.000
Mg 0.677 0.177 0.000
Mg 0.823 0.677 0.000
Sb 0.133 0.633 0.500
Sb 0.367 0.133 0.500
Sb 0.633 0.867 0.500
Sb 0.867 0.367 0.500
Se 0.000 0.000 0.000
Se 0.500 0.500 0.000

=====

! LaErHfSc | Alexandria | PBE | relaxed; values from VASP
! **ΔE_f**: 0.24 eV/atom
&SYSTEM
  ibrav = 0, nat = 16, ntyp = 4
/
ATOMIC_SPECIES
La 138.91 La.upf
Er 167.26 Er.upf
Hf 178.49 Hf.upf
Sc 44.96 Sc.upf
CELL_PARAMETERS angstrom
7.626 0.000 0.000
0.000 7.626 0.000
0.000 0.000 7.626
ATOMIC_POSITIONS crystal
La 0.000 0.000 0.000
La 0.000 0.500 0.500
La 0.500 0.000 0.500
La 0.500 0.500 0.000
Er 0.250 0.250 0.250
Er 0.250 0.750 0.750
Er 0.750 0.250 0.750
Er 0.750 0.750 0.250
Hf 0.000 0.000 0.500
Hf 0.000 0.500 0.000
Hf 0.500 0.000 0.000
Hf 0.500 0.500 0.500
Sc 0.250 0.250 0.750
Sc 0.250 0.750 0.250
Sc 0.750 0.250 0.250
Sc 0.750 0.750 0.750

=====

! HoHfMgTc | Alexandria | PBE | relaxed; values from VASP
! **ΔE_f**: -0.05 eV/atom
&SYSTEM
  ibrav = 0, nat = 16, ntyp = 4
/
ATOMIC_SPECIES
Ho 164.93 Ho.upf
Hf 178.49 Hf.upf
Mg 24.30 Mg.upf
Tc 98.00 Tc.upf
CELL_PARAMETERS angstrom
6.887 0.000 0.000
0.000 6.887 0.000
0.000 0.000 6.887
ATOMIC_POSITIONS crystal
Ho 0.000 0.000 0.000
Ho 0.000 0.500 0.500
Ho 0.500 0.000 0.500
Ho 0.500 0.500 0.000
Hf 0.000 0.000 0.500
Hf 0.000 0.500 0.000
Hf 0.500 0.000 0.000
Hf 0.500 0.500 0.500
Mg 0.250 0.250 0.250
Mg 0.250 0.750 0.750
Mg 0.750 0.250 0.750
Mg 0.750 0.750 0.250
Tc 0.250 0.250 0.750
Tc 0.250 0.750 0.250
Tc 0.750 0.250 0.250
Tc 0.750 0.750 0.750

=====

! Rb2CdIF6 | Alexandria | PBE | relaxed; values from VASP
! **Formation energy (no corrections)**: -1.974 eV/atom
&SYSTEM
  ibrav = 0, nat = 10, ntyp = 4
/
ATOMIC_SPECIES
Rb 85.47 Rb.upf
Cd 112.41 Cd.upf
I 126.90 I.upf
F 19.00 F.upf
CELL_PARAMETERS angstrom
-3.520 3.520 4.448
3.520 -3.520 4.448
3.520 3.520 -4.448
ATOMIC_POSITIONS crystal
Rb 0.250 0.750 0.500
Rb 0.750 0.250 0.500
Cd 0.000 0.000 0.000
I 0.500 0.500 0.000
F 0.218 0.218 0.436
F 0.218 0.782 0.000
F 0.267 0.267 0.000
F 0.733 0.733 0.000
F 0.782 0.218 0.000
F 0.782 0.782 0.564

=====

! AlCdRu2 | Alexandria | PBE | relaxed; values from VASP
! **Energy above the lowest structure with this stoichiometry**: 115 meV/atom
! **ΔE_f**: 0.04 eV/atom
&SYSTEM
  ibrav = 0, nat = 4, ntyp = 3
/
ATOMIC_SPECIES
Al 26.98 Al.upf
Cd 112.41 Cd.upf
Ru 101.07 Ru.upf
CELL_PARAMETERS angstrom
4.419 0.000 0.000
0.000 4.419 0.000
0.000 0.000 3.127
ATOMIC_POSITIONS crystal
Al 0.000 0.000 0.000
Cd 0.500 0.500 0.000
Ru 0.000 0.500 0.500
Ru 0.500 0.000 0.500

=====

Going through the records in order, we get ρ values of 7.72; 10.06; 8.51; 2.54; 6.28; 6.50; 10.64; 4.80; 7.93; 9.47; 3.95; 9.29 Mg/m³.
Going through the records in order, we get E values of -31.25; -49.60; -35.63; -25.91; -80.70; -12.84; -92.60; -31.93; -99.34; -106.80; -35.37; -23.05 eV/cell.
Going through the records in order, we get V values of 74; 284; 181; 304; 159; 83; 206; 257; 443; 327; 220; 61 Å³/cell.